Record 1
VASP calculation (GGA-PBE) on Mn3Re after structural relaxation. Values from VASP.

ρ	11.80	Mg/m³
total magnetic moment	1.977	Bohr magnetons per cell
ΔE_f	53	meV/atom

Geometry as Quantum ESPRESSO input:
```
&SYSTEM
  ibrav = 0, nat = 8, ntyp = 2
/
ATOMIC_SPECIES
Mn 54.94 Mn.upf
Re 186.21 Re.upf
CELL_PARAMETERS angstrom
6.174 -2.277 3.890
2.728 -0.026 7.141
-5.576 -1.180 -5.094
ATOMIC_POSITIONS crystal
Mn 0.250 0.750 0.500
Mn 0.876 0.876 0.000
Mn 0.750 0.250 0.500
Mn 0.500 0.000 0.500
Mn 0.124 0.124 0.000
Mn 0.000 0.500 0.500
Re 0.626 0.626 0.000
Re 0.374 0.374 0.000
```

=====

Record 2
VASP calculation (GGA-PBE) on Mn5Re after structural relaxation. Values from VASP.

ρ	10.62	Mg/m³
total magnetic moment	1.110	Bohr magnetons per cell
ΔE_f	59	meV/atom

Geometry as Quantum ESPRESSO input:
```
&SYSTEM
  ibrav = 0, nat = 6, ntyp = 2
/
ATOMIC_SPECIES
Mn 54.94 Mn.upf
Re 186.21 Re.upf
CELL_PARAMETERS angstrom
1.852 -5.489 0.000
1.852 5.489 0.000
0.000 0.000 3.545
ATOMIC_POSITIONS crystal
Mn 0.671 0.329 0.500
Mn 0.000 0.000 0.500
Mn 0.829 0.171 0.000
Mn 0.329 0.671 0.500
Mn 0.171 0.829 0.000
Re 0.500 0.500 0.000
```

=====

Record 3
VASP calculation (GGA-PBE) on Mn2ReRh after structural relaxation. Values from VASP.

ρ	12.81	Mg/m³
total magnetic moment	0.309	Bohr magnetons per cell
ΔE_f	12	meV/atom

Geometry as Quantum ESPRESSO input:
```
&SYSTEM
  ibrav = 0, nat = 4, ntyp = 3
/
ATOMIC_SPECIES
Mn 54.94 Mn.upf
Re 186.21 Re.upf
Rh 102.91 Rh.upf
CELL_PARAMETERS angstrom
4.048 0.000 0.000
0.000 2.642 0.007
0.000 1.307 4.838
ATOMIC_POSITIONS crystal
Mn 0.000 0.183 0.009
Mn 0.500 0.068 0.240
Re 0.000 0.448 0.479
Rh 0.500 0.801 0.773
```

=====

Record 4
VASP calculation (GGA-PBE) on Mn2ReRh after structural relaxation. Values from VASP.

ρ	12.69	Mg/m³
total magnetic moment	2.818	Bohr magnetons per cell
ΔE_f	38	meV/atom

Geometry as Quantum ESPRESSO input:
```
&SYSTEM
  ibrav = 0, nat = 4, ntyp = 3
/
ATOMIC_SPECIES
Rh 102.91 Rh.upf
Mn 54.94 Mn.upf
Re 186.21 Re.upf
CELL_PARAMETERS angstrom
3.663 0.000 0.000
0.000 2.653 -0.009
0.000 2.675 5.362
ATOMIC_POSITIONS crystal
Rh 0.500 0.750 0.750
Mn 0.000 0.500 0.500
Mn 0.000 0.000 0.000
Re 0.500 0.250 0.250
```

=====

Record 5
VASP calculation (GGA-PBE) on Mn2ReRh after structural relaxation. Values from VASP.

ρ	12.75	Mg/m³
total magnetic moment	2.323	Bohr magnetons per cell
ΔE_f	36	meV/atom

Geometry as Quantum ESPRESSO input:
```
&SYSTEM
  ibrav = 0, nat = 4, ntyp = 3
/
ATOMIC_SPECIES
Rh 102.91 Rh.upf
Re 186.21 Re.upf
Mn 54.94 Mn.upf
CELL_PARAMETERS angstrom
4.534 -0.016 0.000
-1.380 4.318 0.000
0.000 0.000 2.657
ATOMIC_POSITIONS crystal
Rh 0.000 0.500 0.500
Re 0.500 0.000 0.500
Mn 0.000 0.000 0.000
Mn 0.500 0.500 0.000
```

=====

Record 6
VASP calculation (GGA-PBE) on Mn2ReRh after structural relaxation. Values from VASP.

ρ	12.80	Mg/m³
total magnetic moment	2.066	Bohr magnetons per cell
ΔE_f	29	meV/atom

Geometry as Quantum ESPRESSO input:
```
&SYSTEM
  ibrav = 0, nat = 4, ntyp = 3
/
ATOMIC_SPECIES
Rh 102.91 Rh.upf
Mn 54.94 Mn.upf
Re 186.21 Re.upf
CELL_PARAMETERS angstrom
-3.939 -0.570 2.110
0.905 -0.649 4.365
1.363 3.243 -2.814
ATOMIC_POSITIONS crystal
Rh 0.750 0.250 0.500
Mn 0.500 0.500 0.000
Mn 0.000 0.000 0.000
Re 0.250 0.750 0.500
```

=====

Question: The highest ΔE_f belongs to which entry?
Answer: Mn5Re